# 1
CeDyS2N | GGA-PBE | optimized geometry

The space group is P4/nmm (No. 129, origin choice 2) and the conventional cell measures 3.8985, 3.8985 and 13.9145 Å, with angles of 90.00, 90.00 and 90.00 degrees. The asymmetric unit holds Ce at (0.2500, 0.2500, 0.0852), Dy at (0.2500, 0.2500, 0.6222), S at (0.2500, 0.2500, 0.4090), S at (0.2500, 0.2500, 0.8031) and N at (0.2500, 0.7500, 0.0000).

The total magnetization is 0.00 μB/cell. The calculation puts the formation energy without anion corrections at -1822 meV/atom. Its density of states at the Fermi level is 2.48 states/eV/f.u.

=====

# 2
Al2TcW | GGA-PBE | optimized geometry

The space group is Ama2 (No. 40) and the conventional cell measures 4.4848, 6.1325 and 8.6667 Å, with angles of 90.00, 90.00 and 90.00 degrees. The asymmetric unit holds Al at (0.2500, 0.1216, 0.0000), Al at (0.2500, 0.3696, 0.2434), Tc at (0.2500, 0.3614, 0.7460) and W at (0.2500, 0.1315, 0.4984).

The total magnetization is 0.00 μB/cell. As for the formation energy: -0.189 eV per atom. Its density of states at the Fermi level is 1.88 states/eV/f.u.